Record 1
The following is a DFT calculation (PBE-GGA) of DyZnInAg after structural relaxation.

Lattice parameters (Å, degrees): 4.8959 4.8959 4.8959 60.00 60.00 60.00
Last column: nearest neighbours and their distance in Å.
Element x y z (fractional)
Dy1 0.0000 0.0000 0.0000  4 Zn 3.00, 4 Ag 3.00
Zn1 0.7500 0.7500 0.7500  4 In 3.00, 4 Dy 3.00
In1 0.5000 0.5000 0.5000  4 Zn 3.00, 4 Ag 3.00
Ag1 0.2500 0.2500 0.2500  4 In 3.00, 4 Dy 3.00

For the electronic total energy, the calculation gives -3.1942 eV per atom.

Record 2
The following is a DFT calculation (PBE-GGA) of Dy3Ag2Ir after structural relaxation.

Lattice parameters (Å, degrees): 7.5146 7.5146 8.0690 105.49 105.49 45.24
Last column: nearest neighbours and their distance in Å.
Element x y z (fractional)
Dy1 0.0010 0.9990 0.7500  2 Ir 2.89, 4 Ag 3.15-3.16
Dy2 0.3582 0.3628 0.9307  2 Ir 2.74, 2 Ag 2.95
Dy3 0.3628 0.3582 0.4307  2 Ir 2.74, 2 Ag 2.95
Dy4 0.6372 0.6418 0.5693  2 Ir 2.74, 2 Ag 2.95
Dy5 0.6418 0.6372 0.0693  2 Ir 2.74, 2 Ag 2.95
Dy6 0.9990 0.0010 0.2500  2 Ir 2.89, 4 Ag 3.15-3.16
Ag1 0.1804 0.1854 0.5917  6 Dy 2.95-3.16
Ag2 0.1854 0.1804 0.0917  6 Dy 2.95-3.16
Ag3 0.8146 0.8196 0.9083  6 Dy 2.95-3.16
Ag4 0.8196 0.8146 0.4083  6 Dy 2.95-3.16
Ir1 0.4990 0.5010 0.2500  6 Dy 2.74-2.89
Ir2 0.5010 0.4990 0.7500  6 Dy 2.74-2.89

For the electronic total energy, the calculation gives -5.0940 eV per atom.

Record 3
The following is a DFT calculation (PBE-GGA) of Dy2AgIr2 after structural relaxation.

Lattice parameters (Å, degrees): 5.4505 5.4505 5.4505 131.83 114.96 84.90
Last column: nearest neighbours and their distance in Å.
Element x y z (fractional)
Dy1 0.2088 0.2088 0.0000  6 Ir 2.88-3.06
Dy2 0.7912 0.7912 0.0000  6 Ir 2.88-3.06
Ag1 0.5000 0.0000 0.5000  4 Ir 2.78
Ir1 0.2149 0.5000 0.7149  1 Ir 2.52, 2 Ag 2.78
Ir2 0.7851 0.5000 0.2851  1 Ir 2.52, 2 Ag 2.78

For the electronic total energy, the calculation gives -6.6014 eV per atom.

Record 4
The following is a DFT calculation (PBE-GGA) of Dy8Ag2Ir after structural relaxation.

Lattice parameters (Å, degrees): 8.8138 8.8138 6.0781 103.24 103.24 129.20
Last column: nearest neighbours and their distance in Å.
Element x y z (fractional)
Dy1 0.0000 0.0000 0.0000  1 Ir 2.66
Dy2 0.0791 0.4654 0.1443  4 Ag 3.35-3.40, 7 Dy 3.50-3.74, 1 Ir 3.56
Dy3 0.1253 0.8910 0.4807  1 Ir 2.78, 2 Ag 2.95-3.12
Dy4 0.4353 0.6640 0.8445  1 Ir 2.79, 1 Ag 3.02
Dy5 0.4654 0.0791 0.1443  4 Ag 3.35-3.40, 7 Dy 3.50-3.74, 1 Ir 3.56
Dy6 0.5512 0.5512 0.3686  1 Ir 2.69
Dy7 0.6640 0.4353 0.8445  1 Ir 2.79, 1 Ag 3.02
Dy8 0.8910 0.1253 0.4807  1 Ir 2.78, 2 Ag 2.95-3.12
Ag1 0.5514 0.9866 0.6429  4 Dy 2.95-3.22
Ag2 0.9866 0.5514 0.6429  4 Dy 2.95-3.22
Ir1 0.2734 0.2734 0.8510  6 Dy 2.66-2.79

For the electronic total energy, the calculation gives -4.8920 eV per atom.

Record 5
The following is a DFT calculation (PBE-GGA) of Dy12Ag6Ir after structural relaxation.

Lattice parameters (Å, degrees): 8.3292 8.3292 8.3292 98.41 98.41 98.41
Last column: nearest neighbours and their distance in Å.
Element x y z (fractional)
Dy1 0.0031 0.9276 0.6771  1 Ir 2.67, 1 Ag 2.96
Dy2 0.0724 0.3229 0.9969  1 Ir 2.67, 1 Ag 2.96
Dy3 0.1968 0.5520 0.4173  4 Ag 2.97-3.18
Dy4 0.3229 0.9969 0.0724  1 Ir 2.67, 1 Ag 2.96
Dy5 0.4173 0.1968 0.5520  4 Ag 2.97-3.18
Dy6 0.4480 0.5827 0.8032  4 Ag 2.97-3.18
Dy7 0.5520 0.4173 0.1968  4 Ag 2.97-3.18
Dy8 0.5827 0.8032 0.4480  4 Ag 2.97-3.18
Dy9 0.6771 0.0031 0.9276  1 Ir 2.67, 1 Ag 2.96
Dy10 0.8032 0.4480 0.5827  4 Ag 2.97-3.18
Dy11 0.9276 0.6771 0.0031  1 Ir 2.67, 1 Ag 2.96
Dy12 0.9969 0.0724 0.3229  1 Ir 2.67, 1 Ag 2.96
Ag1 0.1238 0.3199 0.6523  6 Dy 2.96-3.18
Ag2 0.3199 0.6523 0.1238  6 Dy 2.96-3.18
Ag3 0.3477 0.8762 0.6801  6 Dy 2.96-3.18
Ag4 0.6523 0.1238 0.3199  6 Dy 2.96-3.18
Ag5 0.6801 0.3477 0.8762  6 Dy 2.96-3.18
Ag6 0.8762 0.6801 0.3477  6 Dy 2.96-3.18
Ir1 0.0000 0.0000 0.0000  6 Dy 2.67

For the electronic total energy, the calculation gives -4.3659 eV per atom.

Record 6
The following is a DFT calculation (PBE-GGA) of Dy7Ag2Ir2 after structural relaxation.

Lattice parameters (Å, degrees): 6.7205 6.7205 7.0738 90.00 90.00 106.46
Last column: nearest neighbours and their distance in Å.
Element x y z (fractional)
Dy1 0.0000 0.0000 0.0000  2 Ir 3.09
Dy2 0.0000 0.5000 0.2534  2 Ir 2.72
Dy3 0.0000 0.5000 0.7466  2 Ir 2.72
Dy4 0.5000 0.0000 0.2534  2 Ir 2.72
Dy5 0.5000 0.0000 0.7466  2 Ir 2.72
Dy6 0.5000 0.5000 0.2468  2 Ir 2.88, 2 Ag 3.13
Dy7 0.5000 0.5000 0.7532  2 Ir 2.88, 2 Ag 3.13
Ag1 0.1806 0.1806 0.5000  1 Ag 2.91, 2 Dy 3.13
Ag2 0.8194 0.8194 0.5000  1 Ag 2.91, 2 Dy 3.13
Ir1 0.2868 0.7132 0.0000  6 Dy 2.72-2.88
Ir2 0.7132 0.2868 0.0000  6 Dy 2.72-2.88

For the electronic total energy, the calculation gives -5.4381 eV per atom.

Record 7
The following is a DFT calculation (PBE-GGA) of Dy3Ag2Ir after structural relaxation.

Lattice parameters (Å, degrees): 5.0095 5.0095 6.2026 90.00 90.00 120.00
Last column: nearest neighbours and their distance in Å.
Element x y z (fractional)
Dy1 0.0000 0.0000 0.0000  6 Ag 3.03, 2 Ir 3.10
Dy2 0.3333 0.6667 0.6455  3 Ir 3.03, 5 Ag 3.09-3.16
Dy3 0.6667 0.3333 0.3545  3 Ir 3.03, 5 Ag 3.09-3.16
Ag1 0.3333 0.6667 0.1474  8 Dy 3.03-3.16
Ag2 0.6667 0.3333 0.8526  8 Dy 3.03-3.16
Ir1 0.0000 0.0000 0.5000  8 Dy 3.03-3.10

For the electronic total energy, the calculation gives -5.2487 eV per atom.

Record 8
The following is a DFT calculation (PBE-GGA) of Dy8AgIr2 after structural relaxation.

Lattice parameters (Å, degrees): 7.7709 7.7709 5.5868 98.00 98.00 112.90
Last column: nearest neighbours and their distance in Å.
Element x y z (fractional)
Dy1 0.0000 0.0000 0.0000  2 Ir 3.04, 1 Ag 3.16, 1 Dy 3.38
Dy2 0.0483 0.3077 0.6075  2 Ir 2.85
Dy3 0.1369 0.6205 0.1959  2 Ir 2.92, 1 Ag 3.13
Dy4 0.3077 0.0483 0.6075  2 Ir 2.85
Dy5 0.4498 0.7091 0.7841  2 Ir 2.85
Dy6 0.6205 0.1369 0.1959  2 Ir 2.92, 1 Ag 3.13
Dy7 0.7091 0.4498 0.7841  2 Ir 2.85
Dy8 0.7579 0.7579 0.3920  2 Ir 3.04, 1 Ag 3.16, 1 Dy 3.38
Ag1 0.3789 0.3789 0.1970  4 Dy 3.13-3.16
Ir1 0.0706 0.6869 0.6960  8 Dy 2.85-3.04
Ir2 0.6869 0.0706 0.6960  8 Dy 2.85-3.04

For the electronic total energy, the calculation gives -5.5816 eV per atom.